## La6TbCd (PBE-GGA)

Data for crystalline La6TbCd at its relaxed geometry.

```
La6TbCd
1.0
6.6280 0.0000 0.0000
-3.2923 5.7629 0.0000
-0.0823 -3.7811 8.4715
La Tb Cd
6 1 1
Cartesian
-1.3057 1.6900 2.3752 La
0.7019 -1.8540 6.0638 La
2.0924 0.3595 2.3830 La
1.1609 1.6223 6.0885 La
2.5514 3.8358 2.4077 La
4.5591 0.2918 6.0963 La
3.2728 -1.8906 4.2357 Tb
0.0000 0.0000 0.0000 Cd
```

## La7TbCd4 (PBE-GGA)

Data for crystalline La7TbCd4 at its relaxed geometry.

```
La7TbCd4
1.0
7.6537 -2.9997 0.0000
7.6537 2.9997 0.0000
-5.5201 0.0000 8.5676
La Tb Cd
7 1 4
Cartesian
0.0000 0.0000 0.0000 La
-0.2003 0.0000 5.9653 La
3.8809 0.0000 0.9047 La
3.3478 0.0000 5.1002 La
6.4395 0.0000 3.4674 La
5.9064 0.0000 7.6630 La
9.9876 0.0000 2.6023 La
7.6537 0.0000 0.0000 Tb
-3.3209 0.0000 6.1143 Cd
0.8727 0.0000 2.9696 Cd
8.9146 0.0000 5.5980 Cd
13.1082 0.0000 2.4534 Cd
```

## La8TbCd2 (PBE-GGA)

Data for crystalline La8TbCd2 at its relaxed geometry.

```
La8TbCd2
1.0
8.7300 -2.7292 0.0000
8.7300 2.7292 0.0000
-3.4292 0.0000 7.8837
La Tb Cd
8 1 2
Cartesian
0.0412 0.0000 1.8990 La
0.1609 0.0000 5.5322 La
3.5738 0.0000 4.3047 La
6.8294 0.0000 0.2625 La
7.2013 0.0000 7.6212 La
10.4570 0.0000 3.5790 La
13.8698 0.0000 2.3515 La
13.9896 0.0000 5.9846 La
7.0154 0.0000 3.9418 Tb
3.3974 0.0000 1.0416 Cd
10.6333 0.0000 6.8421 Cd
```

Number 1: ΔE_f 0.350 eV/atom. Number 2: ΔE_f -0.052 eV/atom. Number 3: ΔE_f -0.082 eV/atom.